[1]
The following is a DFT calculation (PBE) of an optimized crystal structure of Zr3Ge2Pt.

Structure (POSCAR):
```
Zr3Ge2Pt
1.0
11.169 0.000 0.000
0.000 4.025 0.000
0.000 0.000 10.526
Zr Ge Pt
12 8 4
Direct
0.037 0.250 0.118
0.124 0.750 0.571
0.196 0.250 0.825
0.304 0.750 0.325
0.376 0.250 0.071
0.463 0.750 0.618
0.537 0.250 0.382
0.624 0.750 0.929
0.696 0.250 0.675
0.804 0.750 0.175
0.876 0.250 0.429
0.963 0.750 0.882
0.014 0.750 0.312
0.189 0.750 0.028
0.311 0.250 0.528
0.486 0.250 0.812
0.514 0.750 0.188
0.689 0.750 0.472
0.811 0.250 0.972
0.986 0.250 0.688
0.144 0.250 0.360
0.356 0.750 0.860
0.644 0.250 0.140
0.856 0.750 0.640
```

Computed properties:
* DFT total energy: -183.089 eV/cell
* energy relative to the elements: -809 meV/atom
* size of the total moment: 0.000 μB per cell

[2]
The following is a DFT calculation (PBE) of an optimized crystal structure of ZrGe2Pt.

Structure (POSCAR):
```
ZrGe2Pt
1.0
4.149 0.000 0.000
0.000 4.149 0.000
0.000 0.000 18.318
Zr Ge Pt
4 8 4
Direct
0.000 0.000 0.000
0.000 0.500 0.250
0.500 0.000 0.750
0.500 0.500 0.500
0.209 0.250 0.625
0.250 0.709 0.875
0.250 0.791 0.375
0.291 0.250 0.125
0.709 0.750 0.125
0.750 0.209 0.375
0.750 0.291 0.875
0.791 0.750 0.625
0.000 0.000 0.500
0.000 0.500 0.750
0.500 0.000 0.250
0.500 0.500 0.000
```

Computed properties:
* DFT total energy: -100.882 eV/cell
* energy relative to the elements: -349 meV/atom
* size of the total moment: 0.000 μB per cell

[3]
The following is a DFT calculation (PBE) of an optimized crystal structure of ZrGe2Pt.

Structure (POSCAR):
```
ZrGe2Pt
1.0
6.535 0.000 0.000
0.000 6.535 0.000
0.000 0.000 6.535
Zr Ge Pt
4 8 4
Direct
0.000 0.000 0.000
0.000 0.500 0.500
0.500 0.000 0.500
0.500 0.500 0.000
0.250 0.250 0.250
0.250 0.250 0.750
0.250 0.750 0.250
0.250 0.750 0.750
0.750 0.250 0.250
0.750 0.250 0.750
0.750 0.750 0.250
0.750 0.750 0.750
0.000 0.000 0.500
0.000 0.500 0.000
0.500 0.000 0.000
0.500 0.500 0.500
```

Computed properties:
* DFT total energy: -100.226 eV/cell
* energy relative to the elements: -308 meV/atom
* size of the total moment: 2.174 μB per cell

[4]
The following is a DFT calculation (PBE) of an optimized crystal structure of ZrGe2Pt2.

Structure (POSCAR):
```
ZrGe2Pt2
1.0
7.506 0.000 0.000
0.000 7.506 0.000
0.000 0.000 3.066
Zr Ge Pt
2 4 4
Direct
0.000 0.000 0.000
0.500 0.500 0.000
0.146 0.354 0.000
0.354 0.854 0.000
0.646 0.146 0.000
0.854 0.646 0.000
0.152 0.652 0.500
0.348 0.152 0.500
0.652 0.848 0.500
0.848 0.348 0.500
```

Computed properties:
* DFT total energy: -64.358 eV/cell
* energy relative to the elements: -463 meV/atom
* size of the total moment: 0.000 μB per cell

[5]
The following is a DFT calculation (PBE) of an optimized crystal structure of ZrGePt2.

Structure (POSCAR):
```
ZrGePt2
1.0
5.673 0.000 0.000
0.000 5.673 0.000
0.000 0.000 12.146
Zr Ge Pt
4 4 8
Direct
0.000 0.000 0.000
0.000 0.500 0.250
0.500 0.000 0.750
0.500 0.500 0.500
0.000 0.000 0.500
0.000 0.500 0.750
0.500 0.000 0.250
0.500 0.500 0.000
0.216 0.250 0.625
0.250 0.716 0.875
0.250 0.784 0.375
0.284 0.250 0.125
0.716 0.750 0.125
0.750 0.216 0.375
0.750 0.284 0.875
0.784 0.750 0.625
```

Computed properties:
* DFT total energy: -106.246 eV/cell
* energy relative to the elements: -329 meV/atom
* size of the total moment: 0.000 μB per cell

[6]
The following is a DFT calculation (PBE) of an optimized crystal structure of Zr2GePt2.

Structure (POSCAR):
```
Zr2GePt2
1.0
7.695 0.000 0.000
0.000 7.695 0.000
0.000 0.000 3.346
Zr Ge Pt
4 2 4
Direct
0.168 0.332 0.000
0.332 0.832 0.000
0.668 0.168 0.000
0.832 0.668 0.000
0.000 0.000 0.000
0.500 0.500 0.000
0.129 0.629 0.500
0.371 0.129 0.500
0.629 0.871 0.500
0.871 0.371 0.500
```

Computed properties:
* DFT total energy: -74.524 eV/cell
* energy relative to the elements: -693 meV/atom
* size of the total moment: 0.000 μB per cell

[7]
The following is a DFT calculation (PBE) of an optimized crystal structure of ZrGePt.

Structure (POSCAR):
```
ZrGePt
1.0
3.187 0.000 0.000
0.000 3.187 0.000
0.000 0.000 10.437
Zr Ge Pt
2 2 2
Direct
0.000 0.000 0.000
0.500 0.500 0.500
0.000 0.000 0.682
0.500 0.500 0.182
0.000 0.000 0.317
0.500 0.500 0.817
```

Computed properties:
* DFT total energy: -42.165 eV/cell
* energy relative to the elements: -625 meV/atom
* size of the total moment: 0.000 μB per cell

[8]
The following is a DFT calculation (PBE) of an optimized crystal structure of ZrGePt.

Structure (POSCAR):
```
ZrGePt
1.0
6.724 0.000 0.000
0.000 4.012 0.000
0.000 0.000 7.760
Zr Ge Pt
4 4 4
Direct
0.028 0.250 0.183
0.472 0.750 0.683
0.528 0.250 0.317
0.972 0.750 0.817
0.246 0.750 0.378
0.254 0.250 0.878
0.746 0.750 0.122
0.754 0.250 0.622
0.145 0.250 0.563
0.355 0.750 0.063
0.645 0.250 0.937
0.855 0.750 0.437
```

Computed properties:
* DFT total energy: -88.771 eV/cell
* energy relative to the elements: -996 meV/atom
* size of the total moment: 0.000 μB per cell

[9]
The following is a DFT calculation (PBE) of an optimized crystal structure of ZrGe2Pt.

Structure (POSCAR):
```
ZrGe2Pt
1.0
4.279 0.000 0.000
0.000 4.279 0.000
0.000 0.000 3.769
Zr Ge Pt
1 2 1
Direct
0.000 0.000 0.000
0.000 0.500 0.500
0.500 0.000 0.500
0.500 0.500 0.000
```

Computed properties:
* DFT total energy: -26.039 eV/cell
* energy relative to the elements: -554 meV/atom
* size of the total moment: 0.000 μB per cell

[10]
The following is a DFT calculation (PBE) of an optimized crystal structure of ZrGePt.

Structure (POSCAR):
```
ZrGePt
1.0
3.986 0.000 0.000
0.000 9.695 0.000
0.000 0.000 5.469
Zr Ge Pt
4 4 4
Direct
0.000 0.201 0.250
0.000 0.799 0.750
0.500 0.299 0.750
0.500 0.701 0.250
0.000 0.104 0.750
0.000 0.896 0.250
0.500 0.396 0.250
0.500 0.604 0.750
0.000 0.500 0.000
0.000 0.500 0.500
0.500 0.000 0.000
0.500 0.000 0.500
```

Computed properties:
* DFT total energy: -86.965 eV/cell
* energy relative to the elements: -845 meV/atom
* size of the total moment: 0.000 μB per cell

[11]
The following is a DFT calculation (PBE) of an optimized crystal structure of ZrGePt4.

Structure (POSCAR):
```
ZrGePt4
1.0
4.986 0.000 0.000
0.781 6.569 0.000
2.051 1.726 6.607
Zr Ge Pt
2 2 8
Direct
0.143 0.268 0.454
0.857 0.732 0.546
0.000 0.500 0.000
0.500 0.000 0.000
0.033 0.906 0.817
0.208 0.680 0.178
0.323 0.519 0.675
0.416 0.904 0.376
0.584 0.096 0.624
0.677 0.481 0.325
0.792 0.320 0.822
0.967 0.094 0.183
```

Computed properties:
* DFT total energy: -81.981 eV/cell
* energy relative to the elements: -610 meV/atom
* size of the total moment: 0.000 μB per cell

[12]
The following is a DFT calculation (PBE) of an optimized crystal structure of PuGe.

Structure (POSCAR):
```
PuGe
1.0
5.899 0.000 0.000
0.000 5.899 0.000
0.000 0.000 5.899
Pu Ge
4 4
Direct
0.000 0.000 0.000
0.000 0.500 0.500
0.500 0.000 0.500
0.500 0.500 0.000
0.000 0.000 0.500
0.000 0.500 0.000
0.500 0.000 0.000
0.500 0.500 0.500
```

Computed properties:
* DFT total energy: -76.801 eV/cell
* energy relative to the elements: -125 meV/atom
* size of the total moment: 19.778 μB per cell

[13]
The following is a DFT calculation (PBE) of an optimized crystal structure of Pu3Ge.

Structure (POSCAR):
```
Pu3Ge
1.0
2.389 0.000 0.000
0.000 10.000 0.000
0.000 0.000 5.746
Pu Ge
6 2
Direct
0.000 0.000 0.000
0.000 0.239 0.270
0.000 0.761 0.270
0.500 0.261 0.770
0.500 0.500 0.500
0.500 0.739 0.770
0.000 0.500 0.003
0.500 0.000 0.503
```

Computed properties:
* DFT total energy: -92.961 eV/cell
* energy relative to the elements: 283 meV/atom
* size of the total moment: 0.882 μB per cell

[14]
The following is a DFT calculation (PBE) of an optimized crystal structure of Pu3Ge4.

Structure (POSCAR):
```
Pu3Ge4
1.0
5.419 -2.035 0.000
5.419 2.035 0.000
-0.054 0.000 14.248
Pu Ge
6 8
Direct
0.000 0.000 0.000
0.002 0.002 0.306
0.349 0.349 0.806
0.358 0.358 0.502
0.653 0.653 0.657
0.705 0.705 0.156
0.064 0.064 0.798
0.072 0.072 0.511
0.286 0.286 0.012
0.289 0.289 0.298
0.437 0.437 0.153
0.678 0.678 0.905
0.680 0.680 0.404
0.922 0.922 0.653
```

Computed properties:
* DFT total energy: -127.984 eV/cell
* energy relative to the elements: -361 meV/atom
* size of the total moment: 10.820 μB per cell

[15]
The following is a DFT calculation (PBE) of an optimized crystal structure of Pu3Ge4.

Structure (POSCAR):
```
Pu3Ge4
1.0
2.837 0.000 0.000
0.000 3.812 0.000
0.000 0.000 27.072
Pu Ge
6 8
Direct
0.000 0.000 0.000
0.000 0.500 0.065
0.000 0.500 0.935
0.500 0.000 0.435
0.500 0.000 0.565
0.500 0.500 0.500
0.000 0.000 0.147
0.000 0.000 0.853
0.000 0.500 0.209
0.000 0.500 0.791
0.500 0.000 0.291
0.500 0.000 0.709
0.500 0.500 0.353
0.500 0.500 0.647
```

Computed properties:
* DFT total energy: -119.357 eV/cell
* energy relative to the elements: 255 meV/atom
* size of the total moment: 13.217 μB per cell

[16]
The following is a DFT calculation (PBE) of an optimized crystal structure of Pu3Ge2.

Structure (POSCAR):
```
Pu3Ge2
1.0
3.813 0.000 0.000
0.000 3.813 0.000
0.000 0.000 15.417
Pu Ge
6 4
Direct
0.000 0.000 0.000
0.000 0.000 0.191
0.000 0.000 0.809
0.500 0.500 0.309
0.500 0.500 0.500
0.500 0.500 0.691
0.000 0.000 0.393
0.000 0.000 0.607
0.500 0.500 0.107
0.500 0.500 0.893
```

Computed properties:
* DFT total energy: -107.912 eV/cell
* energy relative to the elements: -345 meV/atom
* size of the total moment: 31.929 μB per cell

[17]
The following is a DFT calculation (PBE) of an optimized crystal structure of Pu3Ge.

Structure (POSCAR):
```
Pu3Ge
1.0
5.479 0.000 0.000
0.000 5.479 0.000
0.000 0.000 2.382
Pu Ge
3 1
Direct
0.000 0.000 0.000
0.000 0.500 0.500
0.500 0.000 0.500
0.500 0.500 0.000
```

Computed properties:
* DFT total energy: -46.456 eV/cell
* energy relative to the elements: 289 meV/atom
* size of the total moment: 0.842 μB per cell

[18]
The following is a DFT calculation (PBE) of an optimized crystal structure of Pu3Ge.

Structure (POSCAR):
```
Pu3Ge
1.0
4.568 0.000 0.000
0.000 4.568 0.000
0.000 0.000 4.568
Pu Ge
3 1
Direct
0.000 0.000 0.500
0.000 0.500 0.000
0.500 0.000 0.000
0.500 0.500 0.500
```

Computed properties:
* DFT total energy: -48.461 eV/cell
* energy relative to the elements: -212 meV/atom
* size of the total moment: 17.327 μB per cell

[19]
The following is a DFT calculation (PBE) of an optimized crystal structure of Pu2Ge.

Structure (POSCAR):
```
Pu2Ge
1.0
5.235 0.000 0.000
0.000 5.212 0.000
-1.805 0.000 4.007
Pu Ge
4 2
Direct
0.109 0.000 0.312
0.391 0.500 0.688
0.609 0.500 0.312
0.891 0.000 0.688
0.000 0.500 0.000
0.500 0.000 0.000
```

Computed properties:
* DFT total energy: -66.520 eV/cell
* energy relative to the elements: 7 meV/atom
* size of the total moment: 0.003 μB per cell

[20]
The following is a DFT calculation (PBE) of an optimized crystal structure of Pu2Ge3.

Structure (POSCAR):
```
Pu2Ge3
1.0
7.105 0.000 0.000
0.000 7.105 0.000
0.000 0.000 4.366
Pu Ge
4 6
Direct
0.174 0.326 0.000
0.326 0.826 0.000
0.674 0.174 0.000
0.826 0.674 0.000
0.000 0.000 0.500
0.127 0.627 0.500
0.373 0.127 0.500
0.500 0.500 0.500
0.627 0.873 0.500
0.873 0.373 0.500
```

Computed properties:
* DFT total energy: -88.798 eV/cell
* energy relative to the elements: -377 meV/atom
* size of the total moment: 21.396 μB per cell

[21]
The following is a DFT calculation (PBE) of an optimized crystal structure of Pu5Ge2.

Structure (POSCAR):
```
Pu5Ge2
1.0
6.948 -2.641 0.000
6.948 2.641 0.000
-0.775 0.000 8.412
Pu Ge
10 4
Direct
0.091 0.648 0.056
0.175 0.405 0.677
0.229 0.771 0.750
0.352 0.909 0.444
0.405 0.175 0.177
0.595 0.825 0.823
0.648 0.091 0.556
0.771 0.229 0.250
0.825 0.595 0.323
0.909 0.352 0.944
0.194 0.635 0.404
0.365 0.806 0.096
0.635 0.194 0.904
0.806 0.365 0.596
```

Computed properties:
* DFT total energy: -164.710 eV/cell
* energy relative to the elements: -209 meV/atom
* size of the total moment: 10.347 μB per cell

[22]
The following is a DFT calculation (PBE) of an optimized crystal structure of Pu4Ge.

Structure (POSCAR):
```
Pu4Ge
1.0
3.646 0.000 0.000
1.764 4.967 0.000
0.068 0.405 11.420
Pu Ge
8 2
Direct
0.000 0.000 0.000
0.026 0.526 0.924
0.177 0.192 0.295
0.305 0.934 0.481
0.509 0.567 0.789
0.537 0.470 0.385
0.679 0.089 0.712
0.826 0.919 0.213
0.011 0.515 0.589
0.531 0.497 0.126
```

Computed properties:
* DFT total energy: -125.101 eV/cell
* energy relative to the elements: -121 meV/atom
* size of the total moment: 7.067 μB per cell

[23]
The following is a DFT calculation (PBE) of an optimized crystal structure of Pu3Ge2.

Structure (POSCAR):
```
Pu3Ge2
1.0
7.974 0.000 0.000
0.000 7.974 0.000
0.000 0.000 3.828
Pu Ge
6 4
Direct
0.000 0.000 0.000
0.134 0.366 0.500
0.366 0.866 0.500
0.500 0.500 0.000
0.634 0.134 0.500
0.866 0.634 0.500
0.163 0.663 0.000
0.337 0.163 0.000
0.663 0.837 0.000
0.837 0.337 0.000
```

Computed properties:
* DFT total energy: -107.890 eV/cell
* energy relative to the elements: -343 meV/atom
* size of the total moment: 32.166 μB per cell

[24]
The following is a DFT calculation (PBE) of an optimized crystal structure of PuGe5.

Structure (POSCAR):
```
PuGe5
1.0
4.416 0.000 0.000
0.000 13.381 0.000
0.000 0.000 3.973
Pu Ge
2 10
Direct
0.000 0.000 0.000
0.500 0.500 0.000
0.000 0.180 0.500
0.000 0.342 0.000
0.000 0.500 0.500
0.000 0.658 0.000
0.000 0.820 0.500
0.500 0.000 0.500
0.500 0.158 0.000
0.500 0.320 0.500
0.500 0.680 0.500
0.500 0.842 0.000
```

Computed properties:
* DFT total energy: -75.314 eV/cell
* energy relative to the elements: -40 meV/atom
* size of the total moment: 10.517 μB per cell